# Sc5In2Co PBE relaxed
# Energy relative to the elements   -0.318 eV/atom
# V   171 Å³/f.u.
# Final energy   -5.85 eV/atom
# Symmetry   Pbam, No. 55
data_Sc5In2Co
_cell_length_a 6.2648
_cell_length_b 11.7036
_cell_length_c 4.6667
_cell_angle_alpha 90.00
_cell_angle_beta 90.00
_cell_angle_gamma 90.00
_symmetry_space_group_name_H-M 'P 1'
_symmetry_Int_Tables_number 1
loop_
_symmetry_equiv_pos_as_xyz
'x,y,z'
loop_
_atom_site_label
_atom_site_type_symbol
_atom_site_fract_x
_atom_site_fract_y
_atom_site_fract_z
_atom_site_occupancy
Sc1 Sc 0.0000 0.0000 0.0000 1
Sc2 Sc 0.1033 0.2878 0.0000 1
Sc3 Sc 0.1712 0.5882 0.5000 1
Sc4 Sc 0.3288 0.0882 0.5000 1
Sc5 Sc 0.3967 0.7878 0.0000 1
Sc6 Sc 0.5000 0.5000 0.0000 1
Sc7 Sc 0.6033 0.2122 0.0000 1
Sc8 Sc 0.6712 0.9118 0.5000 1
Sc9 Sc 0.8288 0.4118 0.5000 1
Sc10 Sc 0.8967 0.7122 0.0000 1
In1 In 0.1306 0.8460 0.5000 1
In2 In 0.3694 0.3460 0.5000 1
In3 In 0.6306 0.6540 0.5000 1
In4 In 0.8694 0.1540 0.5000 1
Co1 Co 0.0000 0.5000 0.0000 1
Co2 Co 0.5000 0.0000 0.0000 1

---

# ScIn2Co2 PBE relaxed
# Energy relative to the elements   -0.085 eV/atom
# V   85 Å³/f.u.
# Final energy   -5.29 eV/atom
# Symmetry   P4/mbm, No. 127
data_ScIn2Co2
_cell_length_a 6.7441
_cell_length_b 6.7441
_cell_length_c 3.7424
_cell_angle_alpha 90.00
_cell_angle_beta 90.00
_cell_angle_gamma 90.00
_symmetry_space_group_name_H-M 'P 1'
_symmetry_Int_Tables_number 1
loop_
_symmetry_equiv_pos_as_xyz
'x,y,z'
loop_
_atom_site_label
_atom_site_type_symbol
_atom_site_fract_x
_atom_site_fract_y
_atom_site_fract_z
_atom_site_occupancy
Sc1 Sc 0.0000 0.0000 0.0000 1
Sc2 Sc 0.5000 0.5000 0.0000 1
In1 In 0.1657 0.3343 0.5000 1
In2 In 0.3343 0.8343 0.5000 1
In3 In 0.6657 0.1657 0.5000 1
In4 In 0.8343 0.6657 0.5000 1
Co1 Co 0.1301 0.6301 0.0000 1
Co2 Co 0.3699 0.1301 0.0000 1
Co3 Co 0.6301 0.8699 0.0000 1
Co4 Co 0.8699 0.3699 0.0000 1

---

# ScIn2Co PBE relaxed
# Energy relative to the elements   0.069 eV/atom
# V   81 Å³/f.u.
# Final energy   -4.66 eV/atom
# Symmetry   R-3m, No. 166
data_ScIn2Co
_cell_length_a 8.9442
_cell_length_b 8.9442
_cell_length_c 8.9442
_cell_angle_alpha 21.12
_cell_angle_beta 21.12
_cell_angle_gamma 21.12
_symmetry_space_group_name_H-M 'P 1'
_symmetry_Int_Tables_number 1
loop_
_symmetry_equiv_pos_as_xyz
'x,y,z'
loop_
_atom_site_label
_atom_site_type_symbol
_atom_site_fract_x
_atom_site_fract_y
_atom_site_fract_z
_atom_site_occupancy
Sc1 Sc 0.0000 0.0000 0.0000 1
In1 In 0.2387 0.2387 0.2387 1
In2 In 0.7613 0.7613 0.7613 1
Co1 Co 0.5000 0.5000 0.5000 1

---

Question: Which of these has the lowest final energy?
Answer: Sc5In2Co

---

Question: Which of these has the highest V?
Answer: Sc5In2Co